The following is a PBE-GGA calculation of a relaxed Hf2Be2Re crystal, from the Alexandria database.

abc: 3.5141 12.7417 3.3462
angles: 90.00 90.00 90.00
Closest atoms and distances in Å follow each position.
Space group Cmmm (No. 65)
One atom of each set of equivalent atoms:
Hf1 0.0000 0.1214 0.0000 [4 per cell]  6 Be 2.64-2.79, 4 Re 2.88
Be1 0.0000 0.2967 0.5000 [4 per cell]  2 Be 2.12
Re1 0.0000 0.5000 0.5000 [2 per cell]  2 Be 2.59, 8 Hf 2.88

E_tot = -8.202 eV/atom
Energy of formation = -241 meV per atom
E above lowest polymorph = 6 meV/atom